Compound: ZrSb2Te
Source: Alexandria via LeMat-Bulk
Functional: PBE-GGA
Structure: optimized geometry

a b c (Å): 5.6639 5.5881 4.2900
angles (deg): 75.74 74.25 113.74
Last column: magnetic moment on the atom in μB.
Fractional coordinates of all 4 atoms:
Te1 0.0000 0.5000 0.5000  0.00
Sb1 0.0000 0.0000 0.0000  0.00
Sb2 0.5000 0.0000 0.5000  0.00
Zr1 0.5000 0.5000 0.0000  0.06

Summary:
- Magnetic moment: 0.09 μB/cell
- Space group: C2/m, No. 12
- Uncorrected formation energy: -0.060 eV per atom
- DFT total energy: -5.043 eV/atom

***

Compound: DyP2Rh5
Source: Alexandria via LeMat-Bulk
Functional: PBE-GGA
Structure: optimized geometry

a b c (Å): 3.8871 6.1160 6.1160
angles (deg): 67.16 71.47 71.47
Fractional coordinates of all 8 atoms:
Rh1 0.3512 0.4458 0.8518
Rh2 0.3512 0.8518 0.4458
Rh3 0.6488 0.5542 0.1482
Rh4 0.0000 0.5000 0.5000
Rh5 0.6488 0.1482 0.5542
Dy1 0.0000 0.0000 0.0000
P1 0.7566 0.7434 0.7434
P2 0.2434 0.2566 0.2566

Summary:
- Magnetic moment: 0.00 μB/cell
- Space group: Immm, No. 71
- Formation energy: -839 meV/atom
- DFT total energy: -7.361 eV/atom

***

Compound: Nd3Cu2Sn3
Source: Alexandria via LeMat-Bulk
Functional: PBE-GGA
Structure: optimized geometry

a b c (Å): 4.5527 6.1002 15.4512
angles (deg): 90.00 90.00 111.91
Last column: magnetic moment on the atom in μB.
Fractional coordinates of all 16 atoms:
Nd1 0.9184 0.8367 0.3884  0.09
Nd2 0.3638 0.7277 0.7500  0.15
Nd3 0.0816 0.1633 0.6116  0.09
Nd4 0.9184 0.8367 0.1116  0.09
Nd5 0.6362 0.2723 0.2500  0.15
Nd6 0.0816 0.1633 0.8884  0.09
Cu1 0.2146 0.4292 0.0995  0.01
Cu2 0.7854 0.5708 0.9005  0.01
Cu3 0.2146 0.4292 0.4005  0.01
Cu4 0.7854 0.5708 0.5995  0.01
Sn1 0.6255 0.2510 0.4598  0.00
Sn2 0.3418 0.6836 0.2500  0.00
Sn3 0.6582 0.3164 0.7500  0.00
Sn4 0.6255 0.2510 0.0402  0.00
Sn5 0.3745 0.7490 0.5402  0.00
Sn6 0.3745 0.7490 0.9598  0.00

Summary:
- Magnetic moment: 1.73 μB/cell
- Space group: Cmcm, No. 63
- Formation energy: -599 meV/atom
- DFT total energy: -4.912 eV/atom

***

Compound: SrPmP
Source: Alexandria via LeMat-Bulk
Functional: PBE-GGA
Structure: optimized geometry

a b c (Å): 3.7203 3.7203 7.2656
angles (deg): 104.83 104.83 90.00
Fractional coordinates of all 3 atoms:
P1 0.6843 0.6843 0.3687
Pm1 0.2806 0.2806 0.5611
Sr1 0.0351 0.0351 0.0702

Summary:
- Magnetic moment: 0.00 μB/cell
- Space group: I4mm, No. 107
- Formation energy: -730 meV/atom
- E above lowest polymorph: 0.123 eV per atom
- DFT total energy: -4.677 eV/atom

***

Compound: LuPaCuSi
Source: Alexandria via LeMat-Bulk
Functional: PBE-GGA
Structure: optimized geometry

a b c (Å): 4.8598 4.8598 4.8598
angles (deg): 60.00 60.00 60.00
Fractional coordinates of all 4 atoms:
Pa1 0.7500 0.7500 0.7500
Lu1 0.2500 0.2500 0.2500
Si1 0.0000 0.0000 0.0000
Cu1 0.5000 0.5000 0.5000

Summary:
- Magnetic moment: 0.00 μB/cell
- Space group: F-43m, No. 216
- Uncorrected formation energy: -0.200 eV per atom
- DFT total energy: -6.084 eV/atom

***

Compound: Ac2AuO
Source: Alexandria via LeMat-Bulk
Functional: PBE-GGA
Structure: optimized geometry

a b c (Å): 3.4910 3.4910 7.8058
angles (deg): 90.00 90.00 90.00
Fractional coordinates of all 4 atoms:
O1 0.5000 0.5000 0.0000
Au1 0.5000 0.5000 0.5000
Ac1 0.0000 0.0000 0.7802
Ac2 0.0000 0.0000 0.2198

Summary:
- Magnetic moment: 0.08 μB/cell
- Space group: P4/mmm, No. 123
- E above lowest polymorph: 0.654 eV per atom
- Uncorrected formation energy: -1.125 eV per atom
- DFT total energy: -5.238 eV/atom

***

Compound: TaReTe2N
Source: Alexandria via LeMat-Bulk
Functional: PBE-GGA
Structure: optimized geometry

a b c (Å): 5.4952 5.4952 3.8484
angles (deg): 90.00 90.00 90.00
Last column: magnetic moment on the atom in μB.
Fractional coordinates of all 5 atoms:
Re1 0.5000 0.5000 0.5000  3.01
N1 0.0000 0.0000 0.5000  -0.03
Te1 0.5000 0.0000 0.0000  -0.09
Te2 0.0000 0.5000 0.0000  -0.09
Ta1 0.0000 0.0000 0.0000  0.12

Summary:
- Magnetic moment: 3.45 μB/cell
- Space group: P4/mmm, No. 123
- E above lowest polymorph: 0.224 eV per atom
- Uncorrected formation energy: 1.020 eV per atom
- DFT total energy: -6.762 eV/atom

***

Compound: Be2AlB
Source: Alexandria via LeMat-Bulk
Functional: PBE-GGA
Structure: optimized geometry

a b c (Å): 3.2517 4.7792 6.0929
angles (deg): 92.81 105.48 110.08
Fractional coordinates of all 8 atoms:
Be1 0.1950 0.8571 0.2783
Be2 0.0972 0.4781 0.4642
Be3 0.5019 0.6622 0.0857
Be4 0.2323 0.1684 0.0419
Al1 0.8899 0.9311 0.5957
Al2 0.7093 0.3994 0.7672
B1 0.7871 0.0847 0.2324
B2 0.9098 0.4297 0.1354

Summary:
- Magnetic moment: 0.00 μB/cell
- Space group: P1, No. 1
- Formation energy: 125 meV/atom
- E above lowest polymorph: 0.103 eV per atom
- DFT total energy: -4.343 eV/atom